# PBE-GGA K3Mg5Cl12, optimized geometry
data_K3Mg5Cl12
_chemical_formula_sum 'K24 Mg40 Cl96'
_space_group_name_H-M_alt 'I a -3 d'
_space_group_IT_number 230
_space_group_name_Hall '-I 4bd 2c 3'
_cell_length_a 16.485
_cell_length_b 16.485
_cell_length_c 16.485
_cell_angle_alpha 90.00
_cell_angle_beta 90.00
_cell_angle_gamma 90.00
loop_
_atom_site_label
_atom_site_fract_x
_atom_site_fract_y
_atom_site_fract_z
K1 0.000 0.250 0.125
Mg1 0.000 0.000 0.000
Mg2 0.000 0.250 0.375
Cl1 0.034 0.049 0.646
# theoretical density	1970	kg/m3
# total DFT energy (no corrections)	-3.432	eV per atom
# uncorrected formation energy	-1760.3	meV/atom
# crystal system	cubic